Entry 1:
First-principles (meta-GGA SCAN) data for a PBEsol-optimized structure of Zr3AlAs, as listed in the Alexandria database.

Computed properties:
As for the density of states at the Fermi level: 0.90 states/eV/atom. The calculation puts the size of the total moment at 0.00 μB/f.u. The value obtained for the uncorrected energy is -23.501 eV/atom.

Cell and atoms, written as POSCAR:
```
Zr3AlAs
1.0
-3.960 1.562 -2.420
0.304 -3.865 -2.993
-2.864 -2.571 3.028
Al Zr As
1 3 1
Direct
0.000 0.000 0.000 Al
0.000 0.500 0.000 Zr
0.000 0.000 0.500 Zr
0.500 0.000 0.000 Zr
0.500 0.500 0.500 As
```



Entry 2:
First-principles (meta-GGA SCAN) data for a PBEsol-optimized structure of FeHgSb2, as listed in the Alexandria database.

Computed properties:
As for the density of states at the Fermi level: 0.56 states/eV/atom. For the formation energy without anion corrections, the calculation gives 2.11 eV/f.u. The calculation puts the size of the total moment at 2.98 μB/f.u. The value obtained for the uncorrected energy is -39.678 eV/atom.

Cell and atoms, written as POSCAR:
```
FeHgSb2
1.0
3.760 0.000 0.000
0.000 4.728 0.000
0.000 0.000 4.726
Sb Fe Hg
2 1 1
Direct
0.000 0.500 0.500 Sb
0.000 0.000 0.000 Sb
0.500 0.500 0.000 Fe
0.500 0.000 0.500 Hg
```



Entry 3:
First-principles (meta-GGA SCAN) data for a PBEsol-optimized structure of Si2IrSe, as listed in the Alexandria database.

Computed properties:
As for the density of states at the Fermi level: 0.55 states/eV/atom. For the formation energy without anion corrections, the calculation gives 1.26 eV/f.u. The calculation puts the size of the total moment at 0.00 μB/f.u. The value obtained for the uncorrected energy is -27.488 eV/atom.

Cell and atoms, written as POSCAR:
```
Si2IrSe
1.0
2.917 0.000 0.000
0.000 2.917 0.000
0.000 0.000 7.407
Si Se Ir
2 1 1
Direct
0.000 0.000 0.052 Si
0.500 0.500 0.271 Si
0.500 0.500 0.730 Se
0.000 0.000 0.448 Ir
```